Computed, not measured: Si2TcPt after structural relaxation at the PBEsol level of DFT.

Cell lengths 3.1360, 3.5022, 5.6903 Å; angles 107.92, 106.00, 90.00 degrees
Last column: nearest neighbours and their distance in Å.
Atoms (fractional coordinates):
Pt 0.2123 0.7123 0.4247  6 Si 2.47-2.51
Si 0.0394 0.0394 0.0787  4 Tc 2.48, 2 Pt 2.51
Si 0.7863 0.2863 0.5727  2 Tc 2.40, 4 Pt 2.47
Tc 0.4620 0.4620 0.9239  6 Si 2.40-2.48

Formation energy (no corrections), eV per atom: -0.478
Calculated density, kg/m³: 10190

=====

Computed, not measured: SiTe2Pt after structural relaxation at the PBEsol level of DFT.

Cell lengths 3.5499, 3.5499, 7.4580 Å; angles 90.00, 90.00, 111.23 degrees
Last column: nearest neighbours and their distance in Å.
Atoms (fractional coordinates):
Pt 0.5000 0.5000 0.5000  4 Te 2.68
Si 0.5000 0.5000 0.0000  4 Te 2.79
Te 0.0000 0.0000 0.2606  2 Pt 2.68, 2 Si 2.79
Te 0.0000 0.0000 0.7394  2 Pt 2.68, 2 Si 2.79

Formation energy (no corrections), eV per atom: 0.360
ΔE to the lowest computed polymorph, eV/f.u.: 1.68
Calculated density, kg/m³: 9068

=====

Computed, not measured: SiTe2Pt after structural relaxation at the PBEsol level of DFT.

Cell lengths 3.9594, 3.9594, 6.7328 Å; angles 72.90, 72.90, 60.00 degrees
Last column: nearest neighbours and their distance in Å.
Atoms (fractional coordinates):
Pt 0.5000 0.5000 0.5000  6 Te 2.75
Si 0.0000 0.0000 0.0000  6 Te 2.82
Te 0.7533 0.7533 0.7402  3 Pt 2.75, 3 Si 2.82
Te 0.2467 0.2467 0.2598  3 Pt 2.75, 3 Si 2.82

Formation energy (no corrections), eV per atom: -0.060
ΔE to the lowest computed polymorph, eV/f.u.: 0.00
Calculated density, kg/m³: 9239

=====

Computed, not measured: SiTe2Pt after structural relaxation at the PBEsol level of DFT.

Cell lengths 3.3723, 3.3723, 7.1467 Å; angles 90.00, 90.00, 90.00 degrees
Last column: nearest neighbours and their distance in Å.
Atoms (fractional coordinates):
Pt 0.5000 0.5000 0.0000  8 Te 2.94
Si 0.5000 0.5000 0.5000  8 Te 3.02, 4 Si 3.37
Te 0.0000 0.0000 0.7603  4 Pt 2.94, 4 Si 3.02
Te 0.0000 0.0000 0.2397  4 Pt 2.94, 4 Si 3.02

Formation energy (no corrections), eV per atom: 0.357
ΔE to the lowest computed polymorph, eV/f.u.: 1.67
Calculated density, kg/m³: 9773